An optimized crystal structure of Nd8Sm2Sc3, computed with PBE.

The size of the total moment is 0.00 Bohr magnetons per cell. The density of states at the Fermi level comes out at 19.0 states/eV/f.u. The raw total energy is -127.0 eV/cell. The value obtained for the formation enthalpy at 0 K is 237 meV/atom.

The space group is C2/m (No. 12) and the conventional cell measures 15.095, 8.909 and 6.692 Å, with angles of 90.00, 99.57 and 90.00 degrees. Symmetry generates all atoms from Nd at (0.092, 0.000, 0.402), Nd at (0.110, 0.183, 0.932), Nd at (0.188, 0.500, 0.318), Sm at (0.198, 0.500, 0.799), Sc at (0.000, 0.339, 0.500) and Sc at (0.000, 0.500, 0.000).